The following is a PBE calculation of a geometry-optimized Pm2Pr3Sn3 structure, from Alexandria via LeMat-Bulk.

Formation energy from the elements   -0.5468 eV per atom
Energy   -5.0278 eV/atom
Volume   243.75 Å³/f.u.
ρ   7.28 g cm⁻³

CIF file:
```
data_Pm2Pr3Sn3
_chemical_formula_sum 'Pm4 Pr6 Sn6'
_cell_length_a 4.501
_cell_length_b 5.032
_cell_length_c 21.523
_cell_angle_alpha 90.00
_cell_angle_beta 90.00
_cell_angle_gamma 90.00
_space_group_name_H-M_alt 'I m m m'
_space_group_IT_number 71
_space_group_name_Hall '-I 2 2'
loop_
_atom_site_label
_atom_site_type_symbol
_atom_site_fract_x
_atom_site_fract_y
_atom_site_fract_z
_atom_site_occupancy
Pm1 Pm 0.000 0.000 0.242 1
Pr1 Pr 0.000 0.000 0.000 1
Pr2 Pr 0.000 0.500 0.118 1
Sn1 Sn 0.000 0.000 0.500 1
Sn2 Sn 0.000 0.500 0.367 1
```